(1)
A relaxed Pr2GdBr crystal. Source: the Alexandria database, functional PBE.

The structure in CIF format:
```
data_Pr2GdBr
_chemical_formula_sum 'Pr2 Gd1 Br1'
_cell_length_a 3.748
_cell_length_b 3.748
_cell_length_c 10.880
_cell_angle_alpha 80.08
_cell_angle_beta 80.08
_cell_angle_gamma 60.00
_space_group_name_H-M_alt 'P 1'
_space_group_IT_number 1
_space_group_name_Hall 'P 1'
loop_
_atom_site_label
_atom_site_type_symbol
_atom_site_fract_x
_atom_site_fract_y
_atom_site_fract_z
Br1 Br 0.000 0.000 0.000
Gd1 Gd 0.500 0.500 0.500
Pr1 Pr 0.742 0.742 0.773
Pr2 Pr 0.258 0.258 0.227
```

Values from the calculation:
ΔE to the lowest computed polymorph (eV per atom): 0.0000
Crystal system: trigonal
E_form (uncorrected) (kJ/mol of formula units): -214
SG: R-3m

***

(2)
A relaxed ErCrFeC2 crystal. Source: the Alexandria database, functional PBE.

The structure in CIF format:
```
data_ErCrFeC2
_chemical_formula_sum 'Er1 Cr1 Fe1 C2'
_cell_length_a 3.513
_cell_length_b 3.513
_cell_length_c 5.362
_cell_angle_alpha 109.12
_cell_angle_beta 109.12
_cell_angle_gamma 90.00
_space_group_name_H-M_alt 'P 1'
_space_group_IT_number 1
_space_group_name_Hall 'P 1'
loop_
_atom_site_label
_atom_site_type_symbol
_atom_site_fract_x
_atom_site_fract_y
_atom_site_fract_z
C1 C 0.659 0.659 0.319
C2 C 0.341 0.341 0.681
Er1 Er 0.000 0.000 0.000
Cr1 Cr 0.250 0.750 0.500
Fe1 Fe 0.750 0.250 0.500
```

Values from the calculation:
Crystal system: tetragonal
Energy of formation from the pure elements (eV per atom): -0.14
SG: I-4m2

***

(3)
A relaxed Ce4PPb2 crystal. Source: the Alexandria database, functional PBE.

The structure in CIF format:
```
data_Ce4PPb2
_chemical_formula_sum 'Ce4 P1 Pb2'
_cell_length_a 5.272
_cell_length_b 5.272
_cell_length_c 9.066
_cell_angle_alpha 106.90
_cell_angle_beta 106.90
_cell_angle_gamma 90.00
_space_group_name_H-M_alt 'P 1'
_space_group_IT_number 1
_space_group_name_Hall 'P 1'
loop_
_atom_site_label
_atom_site_type_symbol
_atom_site_fract_x
_atom_site_fract_y
_atom_site_fract_z
Ce1 Ce 0.831 0.831 0.662
Ce2 Ce 0.169 0.169 0.338
Ce3 Ce 0.000 0.500 0.000
Ce4 Ce 0.500 0.000 0.000
Pb1 Pb 0.634 0.634 0.267
Pb2 Pb 0.366 0.366 0.733
P1 P 0.000 0.000 0.000
```

Values from the calculation:
Crystal system: tetragonal
Energy of formation from the pure elements (eV per atom): -0.52
SG: I4/mmm

***

(4)
A relaxed YNi3Ir crystal. Source: the Alexandria database, functional PBE.

The structure in CIF format:
```
data_YNi3Ir
_chemical_formula_sum 'Y1 Ni3 Ir1'
_cell_length_a 4.487
_cell_length_b 4.487
_cell_length_c 4.487
_cell_angle_alpha 90.00
_cell_angle_beta 90.00
_cell_angle_gamma 90.00
_space_group_name_H-M_alt 'P 1'
_space_group_IT_number 1
_space_group_name_Hall 'P 1'
loop_
_atom_site_label
_atom_site_type_symbol
_atom_site_fract_x
_atom_site_fract_y
_atom_site_fract_z
Ni1 Ni 0.000 0.500 0.000
Ni2 Ni 0.000 0.000 0.500
Ni3 Ni 0.500 0.000 0.000
Ir1 Ir 0.500 0.500 0.500
Y1 Y 0.000 0.000 0.000
```

Values from the calculation:
ΔE to the lowest computed polymorph (eV per atom): 1.9078
Crystal system: cubic
Energy of formation from the pure elements (eV per atom): 1.66
SG: Pm-3m

***

(5)
A relaxed Ga2AgN crystal. Source: the Alexandria database, functional PBE.

The structure in CIF format:
```
data_Ga2AgN
_chemical_formula_sum 'Ga4 Ag2 N2'
_cell_length_a 5.736
_cell_length_b 5.736
_cell_length_c 5.682
_cell_angle_alpha 59.69
_cell_angle_beta 59.69
_cell_angle_gamma 90.00
_space_group_name_H-M_alt 'P 1'
_space_group_IT_number 1
_space_group_name_Hall 'P 1'
loop_
_atom_site_label
_atom_site_type_symbol
_atom_site_fract_x
_atom_site_fract_y
_atom_site_fract_z
N1 N 0.500 0.500 0.000
N2 N 0.250 0.750 0.500
Ga1 Ga 0.209 0.625 0.250
Ga2 Ga 0.541 0.125 0.250
Ga3 Ga 0.875 0.791 0.750
Ga4 Ga 0.375 0.459 0.750
Ag1 Ag 0.000 0.000 0.000
Ag2 Ag 0.750 0.250 0.500
```

Values from the calculation:
Crystal system: tetragonal
E_form (uncorrected) (kJ/mol of formula units): 21
SG: I-42d

***

(6)
A relaxed Sr2CaMgCu crystal. Source: the Alexandria database, functional PBE.

The structure in CIF format:
```
data_Sr2CaMgCu
_chemical_formula_sum 'Sr2 Ca1 Mg1 Cu1'
_cell_length_a 5.905
_cell_length_b 5.905
_cell_length_c 5.637
_cell_angle_alpha 90.00
_cell_angle_beta 90.00
_cell_angle_gamma 90.00
_space_group_name_H-M_alt 'P 1'
_space_group_IT_number 1
_space_group_name_Hall 'P 1'
loop_
_atom_site_label
_atom_site_type_symbol
_atom_site_fract_x
_atom_site_fract_y
_atom_site_fract_z
Sr1 Sr 0.500 0.000 0.000
Sr2 Sr 0.000 0.500 0.000
Mg1 Mg 0.500 0.500 0.500
Ca1 Ca 0.000 0.000 0.500
Cu1 Cu 0.000 0.000 0.000
```

Values from the calculation:
ΔE to the lowest computed polymorph (eV per atom): 0.0132
Crystal system: tetragonal
Energy of formation from the pure elements (eV per atom): 0.05
SG: P4/mmm

***

Number 1: total magnetic moment 7.503 μB/cell, total energy -6.884 eV/atom. Number 2: total magnetic moment 0.437 μB/cell, total energy -8.358 eV/atom. Number 3: total magnetic moment 3.100 μB/cell, total energy -5.741 eV/atom. Number 4: total magnetic moment 0.340 μB/cell, total energy -4.869 eV/atom. Number 5: total magnetic moment 0.000 μB/cell, total energy -4.254 eV/atom. Number 6: total magnetic moment 0.000 μB/cell, total energy -2.157 eV/atom.